The following is a DFT calculation (PBE-GGA) of a relaxed structure of YMg14Cu.

Structure (POSCAR):
```
YMg14Cu
1.0
3.210 -5.559 0.000
3.210 5.559 0.000
0.000 0.000 10.184
Mg Cu Y
14 1 1
direct
0.675 0.838 0.264
0.493 0.986 0.000
0.162 0.325 0.736
0.667 0.333 0.763
0.014 0.507 0.000
0.675 0.838 0.736
0.162 0.325 0.264
0.493 0.507 0.000
0.162 0.838 0.264
0.504 0.008 0.500
0.992 0.496 0.500
0.162 0.838 0.736
0.667 0.333 0.237
0.504 0.496 0.500
0.000 0.000 0.500
0.000 0.000 0.000
```

Calculated values
**Mass density**: 2.25 g/cm3
**Space-group type**: No. 187
**E above lowest polymorph**: 0.07 eV/f.u.

=====

The following is a DFT calculation (PBE-GGA) of a relaxed structure of Y2MgCu.

Structure (POSCAR):
```
Y2MgCu
1.0
-3.661 3.648 2.872
-5.703 -1.549 0.187
5.191 -2.608 1.099
Y Cu Mg
2 1 1
direct
0.250 0.750 0.500
0.000 0.000 0.000
0.500 0.500 0.000
0.750 0.250 0.500
```

Calculated values
**Mass density**: 4.56 g/cm3
**Space-group type**: No. 119

=====

The following is a DFT calculation (PBE-GGA) of a relaxed structure of Y2Mg2Cu.

Structure (POSCAR):
```
Y2Mg2Cu
1.0
3.412 0.624 -3.299
-4.457 1.530 -0.847
1.589 6.186 2.813
Y Cu Mg
2 1 2
direct
0.667 0.333 0.859
0.333 0.667 0.141
0.000 0.000 0.000
0.333 0.667 0.622
0.667 0.333 0.378
```

Calculated values
**Mass density**: 3.48 g/cm3
**Space-group type**: No. 164
**E above lowest polymorph**: 1.40 eV/f.u.

=====

Formation energy? In order: 0.01; 0.07; 0.17 eV per atom.
Total DFT energy (no corrections)? In order: -32.8; -18.3; -19.4 eV per cell.
Size of the total moment? In order: 0.00; 0.00; 0.00 μB per cell.